(1)
Entry from the Alexandria database: Tl2Hg2Br at its PBEsol-relaxed geometry (SCAN).

Calculated values
The total magnetization comes out at 0.0 μB per cell. The uncorrected formation energy comes out at -0.29 eV per atom. Its space-group type is P4/mbm. As for the uncorrected energy: -60.387 eV per atom.

```
data_Tl2Hg2Br
_symmetry_space_group_name_H-M 'P 1'
_symmetry_Int_Tables_number 1
_cell_length_a 8.575
_cell_length_b 8.575
_cell_length_c 3.925
_cell_angle_alpha 90.00
_cell_angle_beta 90.00
_cell_angle_gamma 90.00
loop_
_symmetry_equiv_pos_as_xyz
'x,y,z'
loop_
_atom_site_label
_atom_site_fract_x
_atom_site_fract_y
_atom_site_fract_z
_atom_site_occupancy
Tl1 0.180 0.320 0.000 1
Tl2 0.320 0.820 0.000 1
Tl3 0.680 0.180 0.000 1
Tl4 0.820 0.680 0.000 1
Hg1 0.126 0.626 0.500 1
Hg2 0.374 0.126 0.500 1
Hg3 0.626 0.874 0.500 1
Hg4 0.874 0.374 0.500 1
Br1 0.000 0.000 0.000 1
Br2 0.500 0.500 0.000 1
```

---

(2)
Entry from the Alexandria database: CuAuOF2 at its PBEsol-relaxed geometry (SCAN).

Calculated values
The total magnetization comes out at 0.0 μB per cell. The uncorrected formation energy comes out at -0.59 eV per atom. Its space-group type is P4/mmm. As for the uncorrected energy: -20.125 eV per atom.

```
data_CuAuOF2
_symmetry_space_group_name_H-M 'P 1'
_symmetry_Int_Tables_number 1
_cell_length_a 3.777
_cell_length_b 3.777
_cell_length_c 3.991
_cell_angle_alpha 90.00
_cell_angle_beta 90.00
_cell_angle_gamma 90.00
loop_
_symmetry_equiv_pos_as_xyz
'x,y,z'
loop_
_atom_site_label
_atom_site_fract_x
_atom_site_fract_y
_atom_site_fract_z
_atom_site_occupancy
Cu1 0.000 0.000 0.000 1
Au1 0.500 0.500 0.500 1
O1 0.000 0.000 0.500 1
F1 0.000 0.500 0.000 1
F2 0.500 0.000 0.000 1
```

---

(3)
Entry from the Alexandria database: ZrAu5 at its PBEsol-relaxed geometry (SCAN).

Calculated values
The formation energy from the elements is -0.4042 eV/atom. The total magnetization comes out at 0.0 μB per cell. Its space-group type is C2/m. As for the uncorrected energy: -63.151 eV per atom.

```
data_ZrAu5
_symmetry_space_group_name_H-M 'P 1'
_symmetry_Int_Tables_number 1
_cell_length_a 4.994
_cell_length_b 4.994
_cell_length_c 6.063
_cell_angle_alpha 105.34
_cell_angle_beta 105.34
_cell_angle_gamma 46.87
loop_
_symmetry_equiv_pos_as_xyz
'x,y,z'
loop_
_atom_site_label
_atom_site_fract_x
_atom_site_fract_y
_atom_site_fract_z
_atom_site_occupancy
Zr1 0.000 0.000 0.000 1
Au1 0.000 0.000 0.500 1
Au2 0.330 0.330 0.164 1
Au3 0.341 0.341 0.669 1
Au4 0.659 0.659 0.331 1
Au5 0.670 0.670 0.836 1
```

---

(4)
Entry from the Alexandria database: GeTe2RhI at its PBEsol-relaxed geometry (SCAN).

Calculated values
The total magnetization comes out at 2.3 μB per cell. The uncorrected formation energy comes out at 1.03 eV per atom. Its space-group type is P4/mmm. As for the uncorrected energy: -31.795 eV per atom.

```
data_GeTe2RhI
_symmetry_space_group_name_H-M 'P 1'
_symmetry_Int_Tables_number 1
_cell_length_a 5.271
_cell_length_b 5.271
_cell_length_c 5.358
_cell_angle_alpha 90.00
_cell_angle_beta 90.00
_cell_angle_gamma 90.00
loop_
_symmetry_equiv_pos_as_xyz
'x,y,z'
loop_
_atom_site_label
_atom_site_fract_x
_atom_site_fract_y
_atom_site_fract_z
_atom_site_occupancy
Ge1 0.000 0.000 0.000 1
Te1 0.000 0.500 0.000 1
Te2 0.500 0.000 0.000 1
Rh1 0.500 0.500 0.500 1
I1 0.000 0.000 0.500 1
```

---

(5)
Entry from the Alexandria database: Al2ReSe at its PBEsol-relaxed geometry (SCAN).

Calculated values
The total magnetization comes out at 0.5 μB per cell. The uncorrected formation energy comes out at 0.04 eV per atom. Its space-group type is Cm. As for the uncorrected energy: -26.634 eV per atom.

```
data_Al2ReSe
_symmetry_space_group_name_H-M 'P 1'
_symmetry_Int_Tables_number 1
_cell_length_a 5.162
_cell_length_b 5.162
_cell_length_c 4.707
_cell_angle_alpha 105.77
_cell_angle_beta 105.77
_cell_angle_gamma 32.82
loop_
_symmetry_equiv_pos_as_xyz
'x,y,z'
loop_
_atom_site_label
_atom_site_fract_x
_atom_site_fract_y
_atom_site_fract_z
_atom_site_occupancy
Al1 0.000 0.000 0.000 1
Al2 0.215 0.215 0.631 1
Re1 0.479 0.479 0.517 1
Se1 0.791 0.791 0.195 1
```

---

(6)
Entry from the Alexandria database: TiTePtI2 at its PBEsol-relaxed geometry (SCAN).

Calculated values
The total magnetization comes out at 0.3 μB per cell. Its energy above the lowest structure with this stoichiometry is 304.3 meV/atom. The uncorrected formation energy comes out at 0.61 eV per atom. Its space-group type is P4/mmm. As for the uncorrected energy: -38.782 eV per atom.

```
data_TiTePtI2
_symmetry_space_group_name_H-M 'P 1'
_symmetry_Int_Tables_number 1
_cell_length_a 5.151
_cell_length_b 5.151
_cell_length_c 5.405
_cell_angle_alpha 90.00
_cell_angle_beta 90.00
_cell_angle_gamma 90.00
loop_
_symmetry_equiv_pos_as_xyz
'x,y,z'
loop_
_atom_site_label
_atom_site_fract_x
_atom_site_fract_y
_atom_site_fract_z
_atom_site_occupancy
Ti1 0.000 0.000 0.000 1
Te1 0.000 0.000 0.500 1
Pt1 0.500 0.500 0.500 1
I1 0.000 0.500 0.000 1
I2 0.500 0.000 0.000 1
```

---

(7)
Entry from the Alexandria database: Li2MnP2O7 at its PBEsol-relaxed geometry (SCAN).

Calculated values
The total magnetization comes out at 16.0 μB per cell. Its energy above the lowest structure with this stoichiometry is 99.8 meV/atom. The uncorrected formation energy comes out at -2.41 eV per atom. Its space-group type is Pnma. As for the uncorrected energy: -9.698 eV per atom.

```
data_Li2MnP2O7
_symmetry_space_group_name_H-M 'P 1'
_symmetry_Int_Tables_number 1
_cell_length_a 6.320
_cell_length_b 12.985
_cell_length_c 7.245
_cell_angle_alpha 90.00
_cell_angle_beta 90.00
_cell_angle_gamma 90.00
loop_
_symmetry_equiv_pos_as_xyz
'x,y,z'
loop_
_atom_site_label
_atom_site_fract_x
_atom_site_fract_y
_atom_site_fract_z
_atom_site_occupancy
Li1 0.249 0.022 0.250 1
Li2 0.249 0.478 0.250 1
Li3 0.251 0.522 0.750 1
Li4 0.251 0.978 0.750 1
Li5 0.749 0.022 0.250 1
Li6 0.749 0.478 0.250 1
Li7 0.751 0.522 0.750 1
Li8 0.751 0.978 0.750 1
Mn1 0.250 0.250 0.250 1
Mn2 0.250 0.750 0.750 1
Mn3 0.750 0.250 0.250 1
Mn4 0.750 0.750 0.750 1
P1 0.000 0.140 0.553 1
P2 0.000 0.360 0.553 1
P3 0.000 0.640 0.447 1
P4 0.000 0.860 0.447 1
P5 0.500 0.140 0.947 1
P6 0.500 0.360 0.947 1
P7 0.500 0.640 0.053 1
P8 0.500 0.860 0.053 1
O1 0.000 0.058 0.699 1
O2 0.000 0.250 0.657 1
O3 0.000 0.442 0.699 1
O4 0.000 0.558 0.301 1
O5 0.000 0.750 0.343 1
O6 0.000 0.942 0.301 1
O7 0.201 0.138 0.430 1
O8 0.201 0.362 0.430 1
O9 0.201 0.638 0.569 1
O10 0.201 0.862 0.569 1
O11 0.299 0.138 0.069 1
O12 0.299 0.362 0.069 1
O13 0.299 0.638 0.930 1
O14 0.299 0.862 0.930 1
O15 0.500 0.058 0.801 1
O16 0.500 0.250 0.843 1
O17 0.500 0.442 0.801 1
O18 0.500 0.558 0.199 1
O19 0.500 0.750 0.157 1
O20 0.500 0.942 0.199 1
O21 0.701 0.138 0.070 1
O22 0.701 0.362 0.070 1
O23 0.701 0.638 0.931 1
O24 0.701 0.862 0.931 1
O25 0.799 0.138 0.431 1
O26 0.799 0.362 0.431 1
O27 0.799 0.638 0.570 1
O28 0.799 0.862 0.570 1
```

---

(8)
Entry from the Alexandria database: BaCr2Ni at its PBEsol-relaxed geometry (SCAN).

Calculated values
The formation energy from the elements is 0.7397 eV/atom. The total magnetization comes out at 0.1 μB per cell. Its energy above the lowest structure with this stoichiometry is 0.0 meV/atom. Its space-group type is F-43m. As for the uncorrected energy: -22.383 eV per atom.

```
data_BaCr2Ni
_symmetry_space_group_name_H-M 'P 1'
_symmetry_Int_Tables_number 1
_cell_length_a 4.749
_cell_length_b 4.749
_cell_length_c 4.749
_cell_angle_alpha 60.00
_cell_angle_beta 60.00
_cell_angle_gamma 60.00
loop_
_symmetry_equiv_pos_as_xyz
'x,y,z'
loop_
_atom_site_label
_atom_site_fract_x
_atom_site_fract_y
_atom_site_fract_z
_atom_site_occupancy
Ba1 0.000 0.000 0.000 1
Cr1 0.500 0.500 0.500 1
Cr2 0.750 0.750 0.750 1
Ni1 0.250 0.250 0.250 1
```

---

(9)
Entry from the Alexandria database: MgPb3 at its PBEsol-relaxed geometry (SCAN).

Calculated values
The formation energy from the elements is -0.0126 eV/atom. The total magnetization comes out at 0.0 μB per cell. Its space-group type is P4/mmm. As for the uncorrected energy: -58.092 eV per atom.

```
data_MgPb3
_symmetry_space_group_name_H-M 'P 1'
_symmetry_Int_Tables_number 1
_cell_length_a 5.627
_cell_length_b 5.627
_cell_length_c 3.544
_cell_angle_alpha 90.00
_cell_angle_beta 90.00
_cell_angle_gamma 90.00
loop_
_symmetry_equiv_pos_as_xyz
'x,y,z'
loop_
_atom_site_label
_atom_site_fract_x
_atom_site_fract_y
_atom_site_fract_z
_atom_site_occupancy
Mg1 0.000 0.000 0.000 1
Pb1 0.000 0.500 0.500 1
Pb2 0.500 0.000 0.500 1
Pb3 0.500 0.500 0.000 1
```

---

(10)
Entry from the Alexandria database: BaSrOs2 at its PBEsol-relaxed geometry (SCAN).

Calculated values
The formation energy from the elements is 1.3623 eV/atom. The total magnetization comes out at 2.2 μB per cell. Its energy above the lowest structure with this stoichiometry is 768.9 meV/atom. Its space-group type is I4/mmm. As for the uncorrected energy: -50.034 eV per atom.

```
data_BaSrOs2
_symmetry_space_group_name_H-M 'P 1'
_symmetry_Int_Tables_number 1
_cell_length_a 5.686
_cell_length_b 5.686
_cell_length_c 5.686
_cell_angle_alpha 135.95
_cell_angle_beta 135.95
_cell_angle_gamma 64.06
loop_
_symmetry_equiv_pos_as_xyz
'x,y,z'
loop_
_atom_site_label
_atom_site_fract_x
_atom_site_fract_y
_atom_site_fract_z
_atom_site_occupancy
Ba1 0.000 0.000 0.000 1
Sr1 0.500 0.500 0.000 1
Os1 0.250 0.750 0.500 1
Os2 0.750 0.250 0.500 1
```